12
Lattice="-4.471 -1.173 -1.032 2.772 -6.899 -4.164 -0.329 -3.161 5.018" Properties=species:S:1:pos:R:3 comment="Zr2Re, optimized geometry, DFT PBE" total_energy_ev_per_atom=-9.950 e_form_ev_per_atom=-0.102 magmom_total_mub_per_fu=0.0 pbc="T T T"
Re 1.383 -7.200 -3.238
Re -2.291 -4.832 -0.886
Re 0.262 -6.401 0.708
Re -3.411 -4.034 3.059
Zr -0.519 -1.855 -1.077
Zr 0.430 -4.859 -1.771
Zr -3.238 -2.443 0.503
Zr -1.521 -7.359 -1.345
Zr -0.507 -3.875 1.167
Zr 1.210 -8.791 -0.681
Zr -2.458 -6.374 1.593
Zr -1.510 -9.379 0.899